(1)
VASP calculation (GGA-PBE) on crystalline TbScTe at its relaxed geometry.

Magnetic moment ... 0.49 μB/f.u.
Final energy ... -5.589 eV/atom
Density ... 7.23 g/cm³

Structure (POSCAR):
```
TbScTe
1.0
-0.7876 2.4905 3.3603
-3.8044 0.9943 -1.6286
-3.4304 -6.5232 4.0306
Tb Sc Te
2 2 2
Direct
0.0000 0.5000 0.8611
0.5000 0.0000 0.1389
0.5000 0.5000 0.5000
0.0000 0.0000 0.5000
0.0000 0.5000 0.2406
0.5000 0.0000 0.7594
```

(2)
VASP calculation (GGA-PBE) on crystalline Tb2ScTe at its relaxed geometry.

Magnetic moment ... 0.00 μB/f.u.
Final energy ... -5.158 eV/atom
Density ... 6.71 g/cm³

Structure (POSCAR):
```
Tb2ScTe
1.0
-0.3226 -1.7887 -3.3831
2.8418 0.2308 -2.5728
4.8424 -8.2858 1.7392
Tb Sc Te
2 1 1
Direct
0.0758 0.0758 0.7727
0.2578 0.2578 0.2267
0.4996 0.4996 0.5011
0.6669 0.6669 0.9994
```

(3)
VASP calculation (GGA-PBE) on crystalline Tb2ScTe at its relaxed geometry.

Magnetic moment ... 1.16 μB/f.u.
Final energy ... -4.825 eV/atom
Density ... 6.32 g/cm³

Structure (POSCAR):
```
Tb2ScTe
1.0
3.7917 0.0000 0.0000
1.8959 3.2837 0.0000
1.8959 1.0946 10.3440
Sc Te Tb
1 1 2
Direct
0.0000 0.0000 0.0000
0.5000 0.5000 0.5000
0.0988 0.0988 0.7035
0.9012 0.9012 0.2965
```

(4)
VASP calculation (GGA-PBE) on crystalline TbSc6Te8 at its relaxed geometry.

Magnetic moment ... 0.00 μB/f.u.
Final energy ... -5.720 eV/atom
Density ... 5.90 g/cm³

Structure (POSCAR):
```
TbSc6Te8
1.0
7.2100 0.0000 4.1627
2.4033 6.7977 4.1627
0.0000 0.0000 8.3254
Tb Sc Te
1 6 8
Direct
0.0000 0.0000 0.0000
0.0000 0.5000 0.5000
0.5000 0.0000 0.0000
0.5000 0.5000 0.0000
0.0000 0.0000 0.5000
0.0000 0.5000 0.0000
0.5000 0.0000 0.5000
0.7500 0.7500 0.7500
0.2500 0.2500 0.2500
0.7379 0.2621 0.2621
0.2621 0.7379 0.7379
0.2621 0.2621 0.7379
0.7379 0.7379 0.2621
0.7379 0.2621 0.7379
0.2621 0.7379 0.2621
```

(5)
VASP calculation (GGA-PBE) on crystalline Tb2ScTe at its relaxed geometry.

Magnetic moment ... 0.00 μB/f.u.
Final energy ... -5.247 eV/atom
Density ... 7.38 g/cm³

Structure (POSCAR):
```
Tb2ScTe
1.0
3.9495 0.0000 0.0000
0.0000 3.9495 0.0000
0.0000 0.0000 7.0762
Sc Te Tb
1 1 2
Direct
0.5000 0.5000 0.0000
0.5000 0.5000 0.5000
0.0000 0.0000 0.7441
0.0000 0.0000 0.2559
```

(6)
VASP calculation (GGA-PBE) on crystalline TbScTe at its relaxed geometry.

Magnetic moment ... 0.00 μB/f.u.
Final energy ... -5.498 eV/atom
Density ... 6.79 g/cm³

Structure (POSCAR):
```
TbScTe
1.0
3.9886 0.0000 0.0000
0.0000 7.6516 -0.5391
-1.9943 -1.3215 10.7200
Tb Sc Te
4 4 4
Direct
0.8961 0.5486 0.7922
0.5327 0.7414 0.0654
0.4673 0.2586 0.9346
0.1039 0.4514 0.2078
0.7238 0.3512 0.4476
0.1870 0.0086 0.3740
0.2762 0.6488 0.5524
0.8130 0.9914 0.6260
0.6833 0.7186 0.3665
0.4021 0.8689 0.8041
0.3167 0.2814 0.6335
0.5979 0.1311 0.1959
```

(7)
VASP calculation (GGA-PBE) on crystalline Tb2ScTe at its relaxed geometry.

Magnetic moment ... 0.09 μB/f.u.
Final energy ... -5.108 eV/atom
Density ... 6.58 g/cm³

Structure (POSCAR):
```
Tb2ScTe
1.0
3.7848 0.0149 -0.0012
0.0294 6.7959 -1.1499
-1.9118 -4.1421 10.3260
Tb Sc Te
4 2 2
Direct
0.2287 0.9499 0.8144
0.9994 0.9243 0.3676
0.4812 0.3876 0.3273
0.7105 0.4132 0.7742
0.8628 0.9374 0.0709
0.8472 0.4001 0.0708
0.6058 0.9061 0.5744
0.1041 0.4314 0.5674
```

(8)
VASP calculation (GGA-PBE) on crystalline Tb3ScTe4 at its relaxed geometry.

Magnetic moment ... 0.00 μB/f.u.
Final energy ... -5.347 eV/atom
Density ... 7.48 g/cm³

Structure (POSCAR):
```
Tb3ScTe4
1.0
-3.1552 -2.6774 -1.1185
3.7980 -5.7387 3.0234
-4.4373 3.0345 5.2537
Tb Sc Te
3 1 4
Direct
0.0000 0.0000 0.5000
0.5000 0.5000 0.5000
0.0000 0.5000 0.0000
0.5000 0.0000 0.0000
0.0000 0.2394 0.2394
0.5000 0.7554 0.2446
0.0000 0.7606 0.7606
0.5000 0.2446 0.7554
```